No. 1
TbPm2PuAs4 | PBE-GGA | optimized geometry

Unit cell a=7.242 b=4.193 c=7.246 alpha=90.00 beta=109.45 gamma=90.00
Space group P2/m (No. 10)
Asymmetric unit:
Tb  0.000  0.000  0.000 (multiplicity 1)
Pm  0.000  0.500  0.500 (multiplicity 1)
Pm  0.500  0.000  0.500 (multiplicity 1)
Pu  0.500  0.500  0.000 (multiplicity 1)
As  0.249  0.500  0.243 (multiplicity 2)
As  0.254  0.000  0.759 (multiplicity 2)

Output
Energy of formation in eV per atom: -1.3934


No. 2
IrRuRh2 | PBE-GGA | optimized geometry

Unit cell a=2.710 b=2.710 c=7.727 alpha=90.00 beta=90.00 gamma=90.00
Space group P4/mmm (No. 123)
Asymmetric unit:
Ir  0.000  0.000  0.000 (multiplicity 1)
Ru  0.000  0.000  0.500 (multiplicity 1)
Rh  0.500  0.500  0.253 (multiplicity 2)

Output
Relative energy among the computed polymorphs in meV/atom: 37
Energy of formation in eV per atom: 0.0265


No. 3
Pr3YMg6 | PBE-GGA | optimized geometry

Unit cell a=9.506 b=5.349 c=11.443 alpha=90.00 beta=105.14 gamma=90.00
Space group P2_1/m (No. 11)
Asymmetric unit:
Pr  0.035  0.250  0.395 (multiplicity 2)
Pr  0.149  0.750  0.210 (multiplicity 2)
Pr  0.256  0.250  0.007 (multiplicity 2)
Y  0.450  0.250  0.603 (multiplicity 2)
Mg  0.063  0.750  0.902 (multiplicity 2)
Mg  0.170  0.250  0.709 (multiplicity 2)
Mg  0.266  0.750  0.514 (multiplicity 2)
Mg  0.356  0.750  0.808 (multiplicity 2)
Mg  0.364  0.250  0.308 (multiplicity 2)
Mg  0.455  0.750  0.103 (multiplicity 2)

Output
Energy of formation in eV per atom: -0.0860


No. 4
Rb2GaGeBr5 | PBE-GGA | optimized geometry

Unit cell a=4.435 b=19.425 c=15.620 alpha=90.00 beta=90.00 gamma=90.00
Space group Cmc2_1 (No. 36)
Asymmetric unit:
Rb  0.000  0.085  0.000 (multiplicity 4)
Rb  0.000  0.138  0.649 (multiplicity 4)
Ga  0.000  0.456  0.803 (multiplicity 4)
Ge  0.000  0.225  0.381 (multiplicity 4)
Br  0.000  0.085  0.424 (multiplicity 4)
Br  0.000  0.260  0.005 (multiplicity 4)
Br  0.000  0.301  0.764 (multiplicity 4)
Br  0.000  0.365  0.337 (multiplicity 4)
Br  0.000  0.500  0.124 (multiplicity 4)

Output
Formation energy without anion corrections in eV per atom: -1.060


No. 5
PrHoCd | PBE-GGA | optimized geometry

Unit cell a=5.3035 b=5.3035 c=3.6884 alpha=90.00 beta=90.00 gamma=120.00
Space group P3m1 (No. 156)
Asymmetric unit:
Pr  0.0000  0.0000  0.0000 (multiplicity 1)
Ho  0.3333  0.6667  0.5556 (multiplicity 1)
Cd  0.6667  0.3333  0.3627 (multiplicity 1)

Output
Relative energy among the computed polymorphs in meV/atom: 119
Energy of formation in eV per atom: -0.0735


No. 6
YTaAu2 | PBE-GGA | optimized geometry

Unit cell a=8.065 b=4.648 c=5.288 alpha=90.00 beta=120.49 gamma=90.00
Space group C2/m (No. 12)
Asymmetric unit:
Y  0.000  0.000  0.000 (multiplicity 2)
Ta  0.000  0.500  0.500 (multiplicity 2)
Au  0.225  0.000  0.675 (multiplicity 4)

Output
Relative energy among the computed polymorphs in meV/atom: 51
Energy of formation in eV per atom: -0.1945


No. 7
POs2Se | PBE-GGA | optimized geometry

Unit cell a=2.973 b=4.245 c=9.467 alpha=90.00 beta=90.00 gamma=90.00
Space group Imm2 (No. 44)
Asymmetric unit:
P  0.000  0.000  0.000 (multiplicity 2)
Os  0.000  0.000  0.513 (multiplicity 2)
Os  0.000  0.500  0.300 (multiplicity 2)
Se  0.000  0.500  0.773 (multiplicity 2)

Output
Relative energy among the computed polymorphs in meV/atom: 386
Formation energy without anion corrections in eV per atom: 0.582


No. 8
Na2PrMnH8 | PBE-GGA | optimized geometry

Unit cell a=4.7590 b=4.7590 c=6.3148 alpha=90.00 beta=90.00 gamma=120.00
Space group P-3m1 (No. 164)
Asymmetric unit:
Na  0.3333  0.6667  0.3645 (multiplicity 2)
Pr  0.0000  0.0000  0.0000 (multiplicity 1)
Mn  0.0000  0.0000  0.5000 (multiplicity 1)
H  0.1542  0.3085  0.6650 (multiplicity 6)
H  0.3333  0.6667  0.0163 (multiplicity 2)

Output
Electronic total energy in eV per cell: -45.47